(1)
NiTe2S2: relaxed, PBE.

a = 6.296 Å, b = 6.296 Å, c = 5.460 Å
α = 90.00°, β = 90.00°, γ = 90.00°
Positions (direct):
Ni 0.500 0.500 0.000
Ni 0.000 0.000 0.000
Te 0.774 0.726 0.500
Te 0.226 0.274 0.500
Te 0.274 0.774 0.500
Te 0.726 0.226 0.500
S 0.810 0.690 0.000
S 0.310 0.810 0.000
S 0.690 0.190 0.000
S 0.190 0.310 0.000

Results
D(E_F)   0.654 states/eV per atom
Calculated density   5.8 Mg/m³

---

(2)
NiTe2S2: relaxed, PBE.

a = 4.008 Å, b = 4.008 Å, c = 9.851 Å
α = 78.26°, β = 78.26°, γ = 90.00°
Last column: magnetic moment on the atom in μB.
Positions (direct):
Te 0.250 0.750 0.500  -0.01
Te 0.750 0.250 0.500  -0.01
S 0.446 0.446 0.109  0.20
S 0.554 0.554 0.891  0.20
Ni 0.000 0.000 0.000  0.98

Results
D(E_F)   0.942 states/eV per atom
Calculated density   4.1 Mg/m³

---

Structures ranked by computed energy, the most stable listed first: (1), (2).

---

(1)
Ni2TeS: relaxed, PBE.

a = 4.426 Å, b = 4.426 Å, c = 4.426 Å
α = 60.00°, β = 60.00°, γ = 60.00°
Positions (direct):
Ni 0.750 0.750 0.750
Ni 0.250 0.250 0.250
Te 0.500 0.500 0.500
S 0.000 0.000 0.000

Results
D(E_F)   0.677 states/eV per atom
Calculated density   7.5 Mg/m³

---

(2)
Ni2TeS: relaxed, PBE.

a = 4.160 Å, b = 4.160 Å, c = 6.167 Å
α = 70.29°, β = 70.29°, γ = 60.00°
Positions (direct):
S 0.000 0.000 0.000
Te 0.500 0.500 0.500
Ni 0.120 0.120 0.639
Ni 0.880 0.880 0.361

Results
D(E_F)   1.388 states/eV per atom
Calculated density   5.4 Mg/m³

---

(3)
Ni2TeS: relaxed, PBE.

a = 3.846 Å, b = 5.751 Å, c = 7.500 Å
α = 65.26°, β = 75.16°, γ = 90.01°
Positions (direct):
Ni 0.010 0.991 0.759
Ni 0.251 0.391 0.278
Ni 0.487 0.301 0.804
Ni 0.743 0.031 0.295
Te 0.681 0.541 0.418
Te 0.438 0.685 0.901
S 0.908 0.172 0.962
S 0.162 0.984 0.456

Results
D(E_F)   0.675 states/eV per atom
Calculated density   6.4 Mg/m³

---

(4)
Ni2TeS: relaxed, PBE.

a = 4.750 Å, b = 4.750 Å, c = 7.249 Å
α = 70.88°, β = 70.88°, γ = 90.00°
Positions (direct):
Ni 0.375 0.468 0.750
Ni 0.875 0.782 0.750
Ni 0.218 0.625 0.250
Ni 0.532 0.125 0.250
Te 0.750 0.250 0.500
Te 0.000 0.000 0.000
S 0.250 0.750 0.500
S 0.500 0.500 0.000

Results
D(E_F)   0.674 states/eV per atom
Calculated density   6.3 Mg/m³

---

Structures ranked by computed energy, the most stable listed first: (3), (4), (2), (1).

---

(1)
Th2NiS: relaxed, PBE.

a = 3.951 Å, b = 3.951 Å, c = 7.585 Å
α = 74.90°, β = 74.90°, γ = 60.00°
Positions (direct):
S 0.499 0.499 0.502
Th 0.076 0.076 0.772
Th 0.257 0.257 0.229
Ni 0.668 0.668 0.997

Results
D(E_F)   0.687 states/eV per atom
Calculated density   9.4 Mg/m³

---

(2)
Th2NiS: relaxed, PBE.

a = 3.509 Å, b = 3.509 Å, c = 9.457 Å
α = 79.31°, β = 79.31°, γ = 60.00°
Positions (direct):
Ni 0.000 0.000 0.000
Th 0.908 0.908 0.277
Th 0.092 0.092 0.723
S 0.500 0.500 0.500

Results
D(E_F)   0.790 states/eV per atom
Calculated density   9.4 Mg/m³

---

Structures ranked by computed energy, the most stable listed first: (1), (2).

---

(1)
Ti4NiS8: relaxed, PBE.

a = 6.623 Å, b = 6.623 Å, c = 8.127 Å
α = 53.62°, β = 53.62°, γ = 61.93°
Positions (direct):
Ni 0.000 0.000 0.000
S 0.451 0.959 0.833
S 0.959 0.451 0.833
S 0.041 0.549 0.167
S 0.549 0.041 0.167
S 0.455 0.455 0.334
S 0.963 0.963 0.328
S 0.545 0.545 0.666
S 0.037 0.037 0.672
Ti 0.256 0.744 0.500
Ti 0.744 0.256 0.500
Ti 0.742 0.742 0.003
Ti 0.258 0.258 0.997

Results
D(E_F)   0.310 states/eV per atom
Calculated density   3.7 Mg/m³

---

(2)
Ti4NiS8: relaxed, PBE.

a = 7.123 Å, b = 7.123 Å, c = 7.123 Å
α = 57.02°, β = 57.02°, γ = 57.02°
Last column: magnetic moment on the atom in μB.
Positions (direct):
Ti 0.000 0.500 0.500  -0.02
Ti 0.500 0.000 0.500  -0.02
Ti 0.000 0.000 0.000  0.06
Ti 0.500 0.500 0.000  -0.02
S 0.745 0.250 0.250  0.02
S 0.750 0.750 0.255  0.02
S 0.747 0.747 0.747  0.00
S 0.255 0.750 0.750  0.02
S 0.253 0.253 0.253  0.00
S 0.250 0.250 0.745  0.02
S 0.250 0.745 0.250  0.02
S 0.750 0.255 0.750  0.02
Ni 0.500 0.500 0.500  0.80

Results
D(E_F)   0.615 states/eV per atom
Calculated density   3.5 Mg/m³

---

Structures ranked by computed energy, the most stable listed first: (1), (2).

---

(1)
TiNiS2: relaxed, PBE.

a = 3.265 Å, b = 5.680 Å, c = 11.877 Å
α = 90.00°, β = 90.00°, γ = 90.00°
Positions (direct):
S 0.750 0.833 0.697
S 0.250 0.210 0.037
S 0.750 0.333 0.803
S 0.250 0.167 0.303
S 0.750 0.790 0.963
S 0.250 0.710 0.463
S 0.750 0.290 0.537
S 0.250 0.667 0.197
Ti 0.250 0.996 0.837
Ti 0.750 0.004 0.163
Ti 0.250 0.496 0.663
Ti 0.750 0.504 0.337
Ni 0.250 0.024 0.595
Ni 0.250 0.524 0.905
Ni 0.750 0.476 0.095
Ni 0.750 0.976 0.405

Results
D(E_F)   0.490 states/eV per atom
Calculated density   5.1 Mg/m³

---

(2)
TiNiS2: relaxed, PBE.

a = 3.358 Å, b = 3.358 Å, c = 6.202 Å
α = 74.29°, β = 74.29°, γ = 60.00°
Positions (direct):
Ti 0.505 0.505 0.486
S 0.080 0.080 0.759
S 0.254 0.254 0.238
Ni 0.661 0.661 0.018

Results
D(E_F)   0.254 states/eV per atom
Calculated density   4.9 Mg/m³

---

Structures ranked by computed energy, the most stable listed first: (1), (2).

---

(1)
TiNiS2: relaxed, PBE.

a = 3.819 Å, b = 3.819 Å, c = 6.669 Å
α = 90.00°, β = 90.00°, γ = 120.00°
Positions (direct):
S 0.667 0.333 0.914
S 0.000 0.000 0.454
Ni 0.000 0.000 0.800
Ti 0.667 0.333 0.583

Results
D(E_F)   0.411 states/eV per atom
Calculated density   3.4 Mg/m³

---

(2)
TiNiS2: relaxed, PBE.

a = 7.430 Å, b = 7.430 Å, c = 7.430 Å
α = 26.17°, β = 26.17°, γ = 26.17°
Last column: magnetic moment on the atom in μB.
Positions (direct):
Ni 0.000 0.000 0.000  0.41
Ti 0.500 0.500 0.500  -0.15
S 0.901 0.901 0.901  0.01
S 0.099 0.099 0.099  0.01

Results
D(E_F)   1.333 states/eV per atom
Calculated density   4.0 Mg/m³

---

(3)
TiNiS2: relaxed, PBE.

a = 5.229 Å, b = 5.229 Å, c = 6.463 Å
α = 66.14°, β = 66.14°, γ = 90.00°
Positions (direct):
S 0.375 0.357 0.750
S 0.875 0.893 0.750
S 0.643 0.125 0.250
S 0.107 0.625 0.250
Ni 0.000 0.000 0.000
Ni 0.750 0.250 0.500
Ti 0.500 0.500 0.000
Ti 0.250 0.750 0.500

Results
D(E_F)   0.363 states/eV per atom
Calculated density   3.9 Mg/m³

---

(4)
TiNiS2: relaxed, PBE.

a = 4.257 Å, b = 4.257 Å, c = 4.257 Å
α = 60.00°, β = 60.00°, γ = 60.00°
Positions (direct):
Ni 0.500 0.500 0.500
Ti 0.000 0.000 0.000
S 0.250 0.250 0.250
S 0.750 0.750 0.750

Results
D(E_F)   0.709 states/eV per atom
Calculated density   5.2 Mg/m³

---

Structures ranked by computed energy, the most stable listed first: (1), (3), (2), (4).

---

(1)
TlNiS3: relaxed, PBE.

a = 5.064 Å, b = 5.064 Å, c = 5.064 Å
α = 90.00°, β = 90.00°, γ = 90.00°
Last column: magnetic moment on the atom in μB.
Positions (direct):
S 0.000 0.000 0.500  0.30
S 0.500 0.000 0.000  0.41
S 0.000 0.500 0.000  0.48
Ni 0.500 0.500 0.500  1.14
Tl 0.000 0.000 0.000  0.01

Results
D(E_F)   1.473 states/eV per atom
Calculated density   4.6 Mg/m³

---

(2)
TlNiS3: relaxed, PBE.

a = 4.559 Å, b = 4.559 Å, c = 4.559 Å
α = 90.00°, β = 90.00°, γ = 90.00°
Positions (direct):
S 0.000 0.500 0.000
S 0.500 0.000 0.000
S 0.000 0.000 0.500
Tl 0.500 0.500 0.500
Ni 0.000 0.000 0.000

Results
D(E_F)   1.285 states/eV per atom
Calculated density   6.3 Mg/m³

---

Structures ranked by computed energy, the most stable listed first: (2), (1).

---

(1)
Tl2NiS: relaxed, PBE.

a = 5.023 Å, b = 5.023 Å, c = 5.023 Å
α = 60.00°, β = 60.00°, γ = 60.00°
Last column: magnetic moment on the atom in μB.
Positions (direct):
Tl 0.250 0.250 0.250  0.04
Tl 0.750 0.750 0.750  0.04
S 0.000 0.000 0.000  0.23
Ni 0.500 0.500 0.500  0.69

Results
D(E_F)   1.239 states/eV per atom
Calculated density   9.3 Mg/m³

---

(2)
Tl2NiS: relaxed, PBE.

a = 6.750 Å, b = 6.750 Å, c = 6.699 Å
α = 59.75°, β = 59.75°, γ = 90.00°
Positions (direct):
Tl 0.875 0.895 0.750
Tl 0.645 0.125 0.250
Tl 0.375 0.355 0.750
Tl 0.105 0.625 0.250
S 0.250 0.750 0.500
S 0.500 0.500 0.000
Ni 0.000 0.000 0.000
Ni 0.750 0.250 0.500

Results
D(E_F)   0.094 states/eV per atom
Calculated density   7.7 Mg/m³

---

Structures ranked by computed energy, the most stable listed first: (2), (1).

---

(1)
Tl3NiS: relaxed, PBE.

a = 5.082 Å, b = 5.082 Å, c = 5.082 Å
α = 90.00°, β = 90.00°, γ = 90.00°
Positions (direct):
Tl 0.000 0.000 0.500
Tl 0.000 0.500 0.000
Tl 0.500 0.000 0.000
Ni 0.000 0.000 0.000
S 0.500 0.500 0.500

Results
D(E_F)   0.381 states/eV per atom
Calculated density   8.9 Mg/m³

---

(2)
Tl3NiS: relaxed, PBE.

a = 5.644 Å, b = 5.644 Å, c = 5.644 Å
α = 90.00°, β = 90.00°, γ = 90.00°
Positions (direct):
Ni 0.500 0.500 0.500
Tl 0.500 0.000 0.000
Tl 0.000 0.000 0.500
Tl 0.000 0.500 0.000
S 0.000 0.000 0.000

Results
D(E_F)   3.556 states/eV per atom
Calculated density   6.5 Mg/m³

---

Structures ranked by computed energy, the most stable listed first: (1), (2).

---

(1)
TlNi3S: relaxed, PBE.

a = 4.763 Å, b = 4.763 Å, c = 4.763 Å
α = 90.00°, β = 90.00°, γ = 90.00°
Last column: magnetic moment on the atom in μB.
Positions (direct):
S 0.500 0.500 0.500  0.12
Ni 0.000 0.500 0.000  0.41
Ni 0.000 0.000 0.500  0.33
Ni 0.500 0.000 0.000  0.21
Tl 0.000 0.000 0.000  -0.03

Results
D(E_F)   1.766 states/eV per atom
Calculated density   6.3 Mg/m³

---

(2)
TlNi3S: relaxed, PBE.

a = 4.249 Å, b = 4.249 Å, c = 4.249 Å
α = 90.00°, β = 90.00°, γ = 90.00°
Positions (direct):
Ni 0.000 0.500 0.000
Ni 0.000 0.000 0.500
Ni 0.500 0.000 0.000
Tl 0.500 0.500 0.500
S 0.000 0.000 0.000

Results
D(E_F)   2.717 states/eV per atom
Calculated density   8.9 Mg/m³

---

Structures ranked by computed energy, the most stable listed first: (2), (1).

---

(1)
Tm2NiS: relaxed, PBE.

a = 3.783 Å, b = 3.783 Å, c = 7.152 Å
α = 74.67°, β = 74.67°, γ = 60.00°
Positions (direct):
Tm 0.076 0.076 0.772
Tm 0.258 0.258 0.227
S 0.499 0.499 0.502
Ni 0.667 0.667 0.000

Results
D(E_F)   0.298 states/eV per atom
Calculated density   8.4 Mg/m³

---

(2)
Tm2NiS: relaxed, PBE.

a = 3.514 Å, b = 3.514 Å, c = 8.702 Å
α = 78.35°, β = 78.35°, γ = 60.00°
Positions (direct):
Tm 0.099 0.099 0.704
Tm 0.901 0.901 0.296
S 0.500 0.500 0.500
Ni 0.000 0.000 0.000

Results
D(E_F)   0.762 states/eV per atom
Calculated density   7.9 Mg/m³

---

Structures ranked by computed energy, the most stable listed first: (1), (2).